A geometry-optimized SrB2S4 structure, computed with PBE.

Output
The calculation puts the distance to the lowest polymorph of the same formula at 5 meV per atom. The magnetic moment is 0.000 μB/cell.

Geometry as POSCAR:
```
SrB2S4
1.0
6.540 0.000 0.000
0.000 14.266 0.000
-2.054 0.000 5.789
Sr B S
4 8 16
Direct
0.190 0.104 0.304
0.190 0.396 0.804
0.810 0.604 0.196
0.810 0.896 0.696
0.272 0.728 0.821
0.272 0.772 0.321
0.466 0.584 0.569
0.466 0.916 0.069
0.534 0.084 0.931
0.534 0.416 0.431
0.728 0.228 0.679
0.728 0.272 0.179
0.087 0.739 0.009
0.087 0.761 0.509
0.269 0.008 0.861
0.269 0.492 0.361
0.373 0.600 0.831
0.373 0.900 0.331
0.474 0.196 0.062
0.474 0.304 0.562
0.526 0.696 0.438
0.526 0.804 0.938
0.627 0.100 0.669
0.627 0.400 0.169
0.731 0.508 0.639
0.731 0.992 0.139
0.913 0.239 0.491
0.913 0.261 0.991
```